The following is a PBE+U calculation of a relaxed NiRhO3 crystal, from Alexandria.

The structure belongs to space group C2/c (No. 15); the cell edges are 9.8519, 8.7354 and 5.3812 Å and the angles 90.00°, 93.99° and 90.00°. The asymmetric unit holds Ni at (0.1954, 0.1013, 0.2973), Rh at (0.0000, 0.2278, 0.7500), Rh at (0.0000, 0.4090, 0.2500), O at (0.1019, 0.2491, 0.0816), O at (0.1038, 0.4127, 0.5971) and O at (0.1372, 0.0889, 0.6355).

The uncorrected energy comes out at -5.69 eV per atom.